Compound: TaFeCoSi
Source: the Open Quantum Materials Database
Functional: PBE-GGA
Structure: relaxed

The structure in POSCAR format:
```
TaFeCoSi
1.0
0.000 2.927 2.927
2.927 0.000 2.927
2.927 2.927 0.000
Ta Fe Co Si
1 1 1 1
Cartesian
0.000 0.000 0.000
1.464 1.464 1.464
4.391 4.391 4.391
2.927 2.927 2.927
```

Results
DFT total energy = -34.34 eV per formula unit